The following is a GGA-PBE calculation of a relaxed Ba2Zn5Ge3 crystal, from Alexandria via LeMat-Bulk.

The energy above the lowest structure with this stoichiometry is 0 meV/atom. The value obtained for the theoretical density is 6.127 g/cm3. The value obtained for the energy relative to the elements is -357.6 meV/atom. The value obtained for the final energy is -2.764 eV per atom. For the magnetization, the calculation gives 0.0 μB per cell.

It has space group Ibam (No. 72), with a = 10.784 Å, b = 12.876 Å, c = 6.399 Å, α = 90.00°, β = 90.00° and γ = 90.00°. The inequivalent atoms are Ba at (0.242, 0.124, 0.000), Zn at (0.000, 0.262, 0.250), Zn at (0.000, 0.500, 0.250), Zn at (0.121, 0.128, 0.500), Ge at (0.000, 0.000, 0.250) and Ge at (0.134, 0.376, 0.000).